Entry 1:
# BaGdFe2O5 (meta-GGA SCAN, PBEsol geometry)
# * DFT total energy: -20.9082 eV per atom
# * formation energy without anion corrections: -22.4 eV/f.u.
data_BaGdFe2O5
_symmetry_space_group_name_H-M 'P 4/m m m'
_symmetry_Int_Tables_number 123
_symmetry_space_group_name_Hall '-P 4 2'
_cell_length_a 3.8699
_cell_length_b 3.8699
_cell_length_c 7.3289
_cell_angle_alpha 90.00
_cell_angle_beta 90.00
_cell_angle_gamma 90.00
loop_
_atom_site_label
_atom_site_type_symbol
_atom_site_fract_x
_atom_site_fract_y
_atom_site_fract_z
_atom_site_occupancy
Ba1 Ba 0.0000 0.0000 0.0000 1
Gd1 Gd 0.0000 0.0000 0.5000 1
Fe1 Fe 0.5000 0.5000 0.2741 1
O1 O 0.0000 0.5000 0.3018 1
O2 O 0.5000 0.5000 0.0000 1

---

Entry 2:
# BaFeGe2Ir (meta-GGA SCAN, PBEsol geometry)
# * formation enthalpy at 0 K: -0.0942 eV per atom
# * DFT total energy: -33.4851 eV per atom
data_BaFeGe2Ir
_symmetry_space_group_name_H-M 'P 4/m m m'
_symmetry_Int_Tables_number 123
_symmetry_space_group_name_Hall '-P 4 2'
_cell_length_a 4.7496
_cell_length_b 4.7496
_cell_length_c 4.9962
_cell_angle_alpha 90.00
_cell_angle_beta 90.00
_cell_angle_gamma 90.00
loop_
_atom_site_label
_atom_site_type_symbol
_atom_site_fract_x
_atom_site_fract_y
_atom_site_fract_z
_atom_site_occupancy
Ba1 Ba 0.0000 0.0000 0.0000 1
Fe1 Fe 0.5000 0.5000 0.0000 1
Ge1 Ge 0.0000 0.5000 0.5000 1
Ir1 Ir 0.5000 0.5000 0.5000 1

---

Entry 3:
# Ba2FeH (meta-GGA SCAN, PBEsol geometry)
# * DFT total energy: -24.8092 eV per atom
data_Ba2FeH
_symmetry_space_group_name_H-M 'I -4 2 d'
_symmetry_Int_Tables_number 122
_symmetry_space_group_name_Hall 'I -4 2bw'
_cell_length_a 7.5096
_cell_length_b 7.5096
_cell_length_c 8.1439
_cell_angle_alpha 90.00
_cell_angle_beta 90.00
_cell_angle_gamma 90.00
loop_
_atom_site_label
_atom_site_type_symbol
_atom_site_fract_x
_atom_site_fract_y
_atom_site_fract_z
_atom_site_occupancy
Ba1 Ba 0.1816 0.7500 0.1250 1
Fe1 Fe 0.0000 0.0000 0.5000 1
H1 H 0.0000 0.0000 0.0000 1

---

Entry 4:
# Ba3FeH (meta-GGA SCAN, PBEsol geometry)
# * DFT total energy: -27.3358 eV per atom
data_Ba3FeH
_symmetry_space_group_name_H-M 'P m -3 m'
_symmetry_Int_Tables_number 221
_symmetry_space_group_name_Hall '-P 4 2 3'
_cell_length_a 5.6507
_cell_length_b 5.6507
_cell_length_c 5.6507
_cell_angle_alpha 90.00
_cell_angle_beta 90.00
_cell_angle_gamma 90.00
loop_
_atom_site_label
_atom_site_type_symbol
_atom_site_fract_x
_atom_site_fract_y
_atom_site_fract_z
_atom_site_occupancy
Ba1 Ba 0.0000 0.0000 0.5000 1
Fe1 Fe 0.0000 0.0000 0.0000 1
H1 H 0.5000 0.5000 0.5000 1

---

Entry 5:
# BaMg2FeH8 (meta-GGA SCAN, PBEsol geometry)
# * DFT total energy: -8.4064 eV per atom
data_BaMg2FeH8
_symmetry_space_group_name_H-M 'P -3 m 1'
_symmetry_Int_Tables_number 164
_symmetry_space_group_name_Hall '-P 3 2"'
_cell_length_a 4.5063
_cell_length_b 4.5063
_cell_length_c 6.8686
_cell_angle_alpha 90.00
_cell_angle_beta 90.00
_cell_angle_gamma 120.00
loop_
_atom_site_label
_atom_site_type_symbol
_atom_site_fract_x
_atom_site_fract_y
_atom_site_fract_z
_atom_site_occupancy
Ba1 Ba 0.0000 0.0000 0.0000 1
Mg1 Mg 0.3333 0.6667 0.6129 1
Fe1 Fe 0.0000 0.0000 0.5000 1
H1 H 0.1597 0.3193 0.3625 1
H2 H 0.3333 0.6667 0.8930 1

---

Entry 6:
# BaNb2FeH (meta-GGA SCAN, PBEsol geometry)
# * DFT total energy: -24.4231 eV per atom
data_BaNb2FeH
_symmetry_space_group_name_H-M 'P 4/m m m'
_symmetry_Int_Tables_number 123
_symmetry_space_group_name_Hall '-P 4 2'
_cell_length_a 4.3913
_cell_length_b 4.3913
_cell_length_c 6.8581
_cell_angle_alpha 90.00
_cell_angle_beta 90.00
_cell_angle_gamma 90.00
loop_
_atom_site_label
_atom_site_type_symbol
_atom_site_fract_x
_atom_site_fract_y
_atom_site_fract_z
_atom_site_occupancy
Ba1 Ba 0.0000 0.0000 0.0000 1
Nb1 Nb 0.0000 0.5000 0.5000 1
Fe1 Fe 0.0000 0.0000 0.5000 1
H1 H 0.5000 0.5000 0.0000 1

---

Entry 7:
# Ba2SrFeH (meta-GGA SCAN, PBEsol geometry)
# * DFT total energy: -24.2046 eV per atom
data_Ba2SrFeH
_symmetry_space_group_name_H-M 'P 4/m m m'
_symmetry_Int_Tables_number 123
_symmetry_space_group_name_Hall '-P 4 2'
_cell_length_a 5.4661
_cell_length_b 5.4661
_cell_length_c 4.9271
_cell_angle_alpha 90.00
_cell_angle_beta 90.00
_cell_angle_gamma 90.00
loop_
_atom_site_label
_atom_site_type_symbol
_atom_site_fract_x
_atom_site_fract_y
_atom_site_fract_z
_atom_site_occupancy
Ba1 Ba 0.0000 0.5000 0.0000 1
Sr1 Sr 0.0000 0.0000 0.5000 1
Fe1 Fe 0.5000 0.5000 0.5000 1
H1 H 0.5000 0.5000 0.0000 1

---

Entry 8:
# BaZn2FeH (meta-GGA SCAN, PBEsol geometry)
# * DFT total energy: -17.1067 eV per atom
data_BaZn2FeH
_symmetry_space_group_name_H-M 'P 4/m m m'
_symmetry_Int_Tables_number 123
_symmetry_space_group_name_Hall '-P 4 2'
_cell_length_a 5.2393
_cell_length_b 5.2393
_cell_length_c 3.2434
_cell_angle_alpha 90.00
_cell_angle_beta 90.00
_cell_angle_gamma 90.00
loop_
_atom_site_label
_atom_site_type_symbol
_atom_site_fract_x
_atom_site_fract_y
_atom_site_fract_z
_atom_site_occupancy
Ba1 Ba 0.0000 0.0000 0.0000 1
Zn1 Zn 0.0000 0.5000 0.5000 1
Fe1 Fe 0.5000 0.5000 0.0000 1
H1 H 0.5000 0.5000 0.5000 1

---

Entry 9:
# Ba3HfFe (meta-GGA SCAN, PBEsol geometry)
# * formation enthalpy at 0 K: 1.2648 eV per atom
# * DFT total energy: -38.6259 eV per atom
data_Ba3HfFe
_symmetry_space_group_name_H-M 'P m -3 m'
_symmetry_Int_Tables_number 221
_symmetry_space_group_name_Hall '-P 4 2 3'
_cell_length_a 6.0640
_cell_length_b 6.0640
_cell_length_c 6.0640
_cell_angle_alpha 90.00
_cell_angle_beta 90.00
_cell_angle_gamma 90.00
loop_
_atom_site_label
_atom_site_type_symbol
_atom_site_fract_x
_atom_site_fract_y
_atom_site_fract_z
_atom_site_occupancy
Ba1 Ba 0.0000 0.0000 0.5000 1
Hf1 Hf 0.0000 0.0000 0.0000 1
Fe1 Fe 0.5000 0.5000 0.5000 1

---

Entry 10:
# Ba2HfFeP (meta-GGA SCAN, PBEsol geometry)
# * formation enthalpy at 0 K: 0.8608 eV per atom
# * DFT total energy: -33.1995 eV per atom
data_Ba2HfFeP
_symmetry_space_group_name_H-M 'P 4/m m m'
_symmetry_Int_Tables_number 123
_symmetry_space_group_name_Hall '-P 4 2'
_cell_length_a 6.1410
_cell_length_b 6.1410
_cell_length_c 4.3224
_cell_angle_alpha 90.00
_cell_angle_beta 90.00
_cell_angle_gamma 90.00
loop_
_atom_site_label
_atom_site_type_symbol
_atom_site_fract_x
_atom_site_fract_y
_atom_site_fract_z
_atom_site_occupancy
Ba1 Ba 0.0000 0.5000 0.0000 1
Hf1 Hf 0.0000 0.0000 0.0000 1
Fe1 Fe 0.0000 0.0000 0.5000 1
P1 P 0.5000 0.5000 0.5000 1

---

Entry 11:
# BaFe2Hg (meta-GGA SCAN, PBEsol geometry)
# * formation enthalpy at 0 K: 0.6922 eV per atom
# * DFT total energy: -35.3016 eV per atom
data_BaFe2Hg
_symmetry_space_group_name_H-M 'I -4 m 2'
_symmetry_Int_Tables_number 119
_symmetry_space_group_name_Hall 'I -4 -2'
_cell_length_a 5.0010
_cell_length_b 5.0010
_cell_length_c 7.0513
_cell_angle_alpha 90.00
_cell_angle_beta 90.00
_cell_angle_gamma 90.00
loop_
_atom_site_label
_atom_site_type_symbol
_atom_site_fract_x
_atom_site_fract_y
_atom_site_fract_z
_atom_site_occupancy
Ba1 Ba 0.0000 0.0000 0.0000 1
Fe1 Fe 0.0000 0.0000 0.5000 1
Fe2 Fe 0.0000 0.5000 0.7500 1
Hg1 Hg 0.0000 0.5000 0.2500 1

---

Entry 12:
# BaFeHg2 (meta-GGA SCAN, PBEsol geometry)
# * formation enthalpy at 0 K: 0.1376 eV per atom
# * DFT total energy: -48.3652 eV per atom
data_BaFeHg2
_symmetry_space_group_name_H-M 'I 4/m m m'
_symmetry_Int_Tables_number 139
_symmetry_space_group_name_Hall '-I 4 2'
_cell_length_a 4.8668
_cell_length_b 4.8668
_cell_length_c 8.5455
_cell_angle_alpha 90.00
_cell_angle_beta 90.00
_cell_angle_gamma 90.00
loop_
_atom_site_label
_atom_site_type_symbol
_atom_site_fract_x
_atom_site_fract_y
_atom_site_fract_z
_atom_site_occupancy
Ba1 Ba 0.0000 0.0000 0.0000 1
Fe1 Fe 0.0000 0.0000 0.5000 1
Hg1 Hg 0.0000 0.5000 0.2500 1